! Ba2Tl6Sn, relaxed, DFT PBE; values from VASP
&SYSTEM
  ibrav = 0, nat = 9, ntyp = 3
/
ATOMIC_SPECIES
Ba 137.33 Ba.upf
Tl 204.38 Tl.upf
Sn 118.71 Sn.upf
ATOMIC_POSITIONS crystal
Ba 0.2492 0.2492 0.2492
Ba 0.7508 0.7508 0.7508
Tl 0.2867 0.2867 0.7116
Tl 0.2867 0.7116 0.2867
Tl 0.2884 0.7133 0.7133
Tl 0.7116 0.2867 0.2867
Tl 0.7133 0.2884 0.7133
Tl 0.7133 0.7133 0.2884
Sn 0.0000 0.0000 0.0000
CELL_PARAMETERS angstrom
3.8270 2.2095 6.2252
-3.8270 2.2095 6.2252
0.0000 -4.4190 6.2252
! Space group: No. 166
! Calculated formation energy: -5.51 kcal/mol of atoms

! Li2ErMg9, relaxed, DFT PBE; values from VASP
&SYSTEM
  ibrav = 0, nat = 12, ntyp = 3
/
ATOMIC_SPECIES
Li 6.94 Li.upf
Er 167.26 Er.upf
Mg 24.30 Mg.upf
ATOMIC_POSITIONS crystal
Li 0.0000 0.0000 0.1670
Li 0.0000 0.0000 0.8330
Er 0.0000 0.0000 0.5000
Mg 0.0000 0.5000 0.0000
Mg 0.0000 0.5000 0.3240
Mg 0.0000 0.5000 0.6760
Mg 0.5000 0.0000 0.0000
Mg 0.5000 0.0000 0.3240
Mg 0.5000 0.0000 0.6760
Mg 0.5000 0.5000 0.1580
Mg 0.5000 0.5000 0.5000
Mg 0.5000 0.5000 0.8420
CELL_PARAMETERS angstrom
4.5085 0.0000 0.0000
0.0000 4.5085 0.0000
0.0000 0.0000 13.5972
! Space group: No. 123
! Calculated formation energy: -0.73 kcal/mol of atoms

! YMgFe, relaxed, DFT PBE; values from VASP
&SYSTEM
  ibrav = 0, nat = 12, ntyp = 3
/
ATOMIC_SPECIES
Y 88.91 Y.upf
Mg 24.30 Mg.upf
Fe 55.84 Fe.upf
ATOMIC_POSITIONS crystal
Y 0.1418 0.0000 0.3321
Y 0.3582 0.5000 0.6679
Y 0.6418 0.5000 0.3321
Y 0.8582 0.0000 0.6679
Mg 0.0778 0.5000 0.7920
Mg 0.4222 0.0000 0.2080
Mg 0.5778 0.0000 0.7920
Mg 0.9222 0.5000 0.2080
Fe 0.2347 0.0000 0.9066
Fe 0.2653 0.5000 0.0934
Fe 0.7347 0.5000 0.9066
Fe 0.7653 0.0000 0.0934
CELL_PARAMETERS angstrom
13.4494 0.0000 0.0000
0.0000 3.8094 0.0000
-1.1744 0.0000 5.0824
! Space group: No. 12
! Calculated formation energy: 0.19 kcal/mol of atoms

! Tb4PmTm2, relaxed, DFT PBE; values from VASP
&SYSTEM
  ibrav = 0, nat = 14, ntyp = 3
/
ATOMIC_SPECIES
Tb 158.93 Tb.upf
Pm 145.00 Pm.upf
Tm 168.93 Tm.upf
ATOMIC_POSITIONS crystal
Tb 0.2059 0.1912 0.2016
Tb 0.2059 0.8088 0.2016
Tb 0.2941 0.3088 0.7984
Tb 0.2941 0.6912 0.7984
Tb 0.7059 0.3088 0.2016
Tb 0.7059 0.6912 0.2016
Tb 0.7941 0.1912 0.7984
Tb 0.7941 0.8088 0.7984
Pm 0.0000 0.0000 0.5000
Pm 0.5000 0.5000 0.5000
Tm 0.0314 0.5000 0.2697
Tm 0.4686 0.0000 0.7303
Tm 0.5314 0.0000 0.2697
Tm 0.9686 0.5000 0.7303
CELL_PARAMETERS angstrom
9.8782 0.0000 0.0000
0.0000 8.7350 0.0000
-3.6793 0.0000 5.3224
! Space group: No. 12
! Calculated formation energy: 4.62 kcal/mol of atoms
! Relative energy among the computed polymorphs: 167.6 meV per atom

! K3Mg2PaSe6, relaxed, DFT PBE; values from VASP
&SYSTEM
  ibrav = 0, nat = 12, ntyp = 4
/
ATOMIC_SPECIES
K 39.10 K.upf
Mg 24.30 Mg.upf
Pa 231.04 Pa.upf
Se 78.96 Se.upf
ATOMIC_POSITIONS crystal
K 0.0000 0.0000 0.0000
K 0.3319 0.6681 0.0000
K 0.6681 0.3319 0.0000
Mg 0.1664 0.8336 0.5000
Mg 0.8336 0.1664 0.5000
Pa 0.5000 0.5000 0.5000
Se 0.1016 0.4337 0.3012
Se 0.2345 0.2345 0.6991
Se 0.4337 0.1016 0.3012
Se 0.5663 0.8984 0.6988
Se 0.7655 0.7655 0.3009
Se 0.8984 0.5663 0.6988
CELL_PARAMETERS angstrom
3.5444 -6.1411 0.0000
3.5444 6.1411 0.0000
-2.3624 0.0000 7.6812
! Space group: No. 12
! Raw formation energy: -1344 meV/atom

! SnP2SCl, relaxed, DFT PBE; values from VASP
&SYSTEM
  ibrav = 0, nat = 5, ntyp = 4
/
ATOMIC_SPECIES
Sn 118.71 Sn.upf
P 30.97 P.upf
S 32.06 S.upf
Cl 35.45 Cl.upf
ATOMIC_POSITIONS crystal
Sn 0.0000 0.0000 0.0000
P 0.0000 0.5000 0.5000
P 0.5000 0.0000 0.5000
S 0.5000 0.5000 0.5000
Cl 0.5000 0.5000 0.0000
CELL_PARAMETERS angstrom
4.6224 0.0000 0.0000
0.0000 4.6224 0.0000
0.0000 0.0000 4.9907
! Space group: No. 123
! Raw formation energy: 570 meV/atom
! Relative energy among the computed polymorphs: 0.0 meV per atom

! Y2Mo, relaxed, DFT PBE; values from VASP
&SYSTEM
  ibrav = 0, nat = 12, ntyp = 2
/
ATOMIC_SPECIES
Y 88.91 Y.upf
Mo 95.94 Mo.upf
ATOMIC_POSITIONS crystal
Y 0.1403 0.2183 0.2500
Y 0.1403 0.7817 0.7500
Y 0.3597 0.2817 0.7500
Y 0.3597 0.7183 0.2500
Y 0.6403 0.2817 0.7500
Y 0.6403 0.7183 0.2500
Y 0.8597 0.2183 0.2500
Y 0.8597 0.7817 0.7500
Mo 0.0000 0.3417 0.7500
Mo 0.0000 0.6583 0.2500
Mo 0.5000 0.1583 0.2500
Mo 0.5000 0.8417 0.7500
CELL_PARAMETERS angstrom
12.1997 0.0000 0.0000
0.0000 5.1153 0.0000
0.0000 0.0000 4.9635
! Space group: No. 63
! Calculated formation energy: 6.81 kcal/mol of atoms
! Relative energy among the computed polymorphs: 148.7 meV per atom

! LaRe2As, relaxed, DFT PBE; values from VASP
&SYSTEM
  ibrav = 0, nat = 4, ntyp = 3
/
ATOMIC_SPECIES
La 138.91 La.upf
Re 186.21 Re.upf
As 74.92 As.upf
ATOMIC_POSITIONS crystal
La 0.0000 0.0000 0.0000
Re 0.0000 0.5000 0.5000
Re 0.5000 0.0000 0.5000
As 0.5000 0.5000 0.0000
CELL_PARAMETERS angstrom
3.9899 0.0000 0.0000
0.0000 3.9899 0.0000
0.0000 0.0000 4.9387
! Space group: No. 123
! Calculated formation energy: 12.67 kcal/mol of atoms

Going through the records in order, we get uncorrected energy values of -2.688; -1.927; -5.499; -4.402; -4.418; -3.590; -7.625; -8.069 eV per atom.
Going through the records in order, we get calculated density values of 8.5; 2.4; 4.3; 8.1; 4.3; 3.9; 5.9; 12.4 g/cm3.